(1)
First-principles (PBE) data for crystalline La2YRh at its relaxed geometry, as listed in Alexandria.

Geometry as POSCAR:
```
La2YRh
1.0
-3.210 3.481 3.858
-2.707 -1.822 -5.163
-2.405 -2.280 1.206
La Rh Y
2 1 1
Cartesian
0.000 0.000 0.000 La
-2.958 0.830 -0.653 La
-2.807 0.601 2.532 Rh
-2.556 -2.051 -1.978 Y
```

Output
Energy of formation from the pure elements in eV/atom: 0.00
Offset from the most stable computed form in eV/atom: 0.4600
D(E_F) in states/eV/atom: 1.233

(2)
First-principles (PBE) data for crystalline La2YRh at its relaxed geometry, as listed in Alexandria.

Geometry as POSCAR:
```
La2YRh
1.0
3.685 0.072 0.000
-0.074 3.685 0.000
0.000 0.000 8.753
La Rh Y
2 1 1
Cartesian
0.000 0.000 0.521 La
0.000 0.000 3.856 La
1.806 1.879 2.188 Rh
1.806 1.879 6.565 Y
```

Output
Energy of formation from the pure elements in eV/atom: -0.28
Offset from the most stable computed form in eV/atom: 0.1795
D(E_F) in states/eV/atom: 1.185

(3)
First-principles (PBE) data for crystalline La2Y2Rh at its relaxed geometry, as listed in Alexandria.

Geometry as POSCAR:
```
La2Y2Rh
1.0
-2.130 -5.899 3.755
0.060 -3.941 -6.157
5.521 -1.392 0.945
Y Rh La
4 2 4
Cartesian
2.448 -4.295 -3.004 Y
1.393 -7.911 -2.166 Y
1.003 -6.937 1.547 Y
2.058 -3.322 0.709 Y
0.000 0.000 0.000 Rh
-1.035 -4.920 -1.201 Rh
-0.678 -5.334 -3.899 La
-1.754 -7.560 -0.891 La
-1.392 -4.506 1.498 La
-0.316 -2.280 -1.511 La
```

Output
Energy of formation from the pure elements in eV/atom: -0.12
Offset from the most stable computed form in eV/atom: 0.0549
D(E_F) in states/eV/atom: 1.175

(4)
First-principles (PBE) data for crystalline La2Y2Rh3 at its relaxed geometry, as listed in Alexandria.

Geometry as POSCAR:
```
La2Y2Rh3
1.0
-6.975 -1.194 2.876
2.071 -6.009 -4.236
4.985 0.927 5.713
La Y Rh
4 4 6
Cartesian
-0.205 -2.426 2.678 La
1.902 0.353 2.179 La
-3.478 -1.341 1.954 La
-5.113 -4.057 0.417 La
4.428 0.823 5.075 Y
0.844 -5.472 0.531 Y
3.537 -3.243 1.225 Y
-1.673 -3.468 -1.002 Y
-1.804 -4.494 1.707 Rh
0.427 -5.251 -2.329 Rh
1.630 -4.433 3.297 Rh
-2.544 -1.978 5.349 Rh
1.565 -0.234 4.885 Rh
0.967 -2.441 0.148 Rh
```

Output
Energy of formation from the pure elements in eV/atom: -0.73
D(E_F) in states/eV/atom: 0.490

(5)
First-principles (PBE) data for crystalline LaY5Rh6 at its relaxed geometry, as listed in Alexandria.

Geometry as POSCAR:
```
LaY5Rh6
1.0
-2.682 2.270 3.346
-0.314 -5.960 3.791
7.549 3.777 -0.030
Y Rh La
5 6 1
Cartesian
0.718 1.792 2.877 Y
4.039 1.290 2.362 Y
-0.157 -2.980 1.896 Y
0.514 -1.202 4.745 Y
3.835 -1.705 4.230 Y
2.598 0.942 4.961 Rh
2.754 3.893 3.083 Rh
-1.575 -3.302 4.496 Rh
-1.421 -0.388 2.641 Rh
1.800 -3.805 4.024 Rh
1.955 -0.855 2.147 Rh
0.000 0.000 0.000 La
```

Output
Energy of formation from the pure elements in eV/atom: -0.80
D(E_F) in states/eV/atom: 0.618

(6)
First-principles (PBE) data for crystalline LaYRh2 at its relaxed geometry, as listed in Alexandria.

Geometry as POSCAR:
```
LaYRh2
1.0
3.446 0.000 0.000
0.000 3.521 0.057
0.000 3.395 7.208
Y Rh La
1 2 1
Cartesian
1.723 1.729 1.816 Y
0.000 3.520 0.154 Rh
0.000 3.460 3.535 Rh
1.723 5.187 5.449 La
```

Output
Energy of formation from the pure elements in eV/atom: -0.73
D(E_F) in states/eV/atom: 0.497

(7)
First-principles (PBE) data for crystalline LaYRh3 at its relaxed geometry, as listed in Alexandria.

Geometry as POSCAR:
```
LaYRh3
1.0
4.938 0.000 0.000
0.000 4.938 0.000
0.000 0.000 4.938
Y Rh La
1 3 1
Cartesian
2.469 2.469 2.469 Y
0.000 2.469 0.000 Rh
0.000 0.000 2.469 Rh
2.469 0.000 0.000 Rh
0.000 0.000 0.000 La
```

Output
Energy of formation from the pure elements in eV/atom: 0.34
Offset from the most stable computed form in eV/atom: 0.1416
D(E_F) in states/eV/atom: 1.222

(8)
First-principles (PBE) data for crystalline LaYRh2 at its relaxed geometry, as listed in Alexandria.

Geometry as POSCAR:
```
LaYRh2
1.0
6.101 0.005 -0.019
3.418 5.054 0.019
-4.751 -2.544 2.859
La Rh Y
1 2 1
Cartesian
1.712 2.519 1.439 La
9.519 5.058 0.000 Rh
3.057 -0.004 1.420 Rh
4.758 2.528 0.000 Y
```

Output
Energy of formation from the pure elements in eV/atom: -0.56
D(E_F) in states/eV/atom: 0.592

(9)
First-principles (PBE) data for crystalline LaYRh3 at its relaxed geometry, as listed in Alexandria.

Geometry as POSCAR:
```
LaYRh3
1.0
-0.152 -3.615 -3.382
4.799 0.722 -0.988
1.214 -3.307 3.480
Y Rh La
1 3 1
Cartesian
0.000 0.000 0.000 Y
2.399 0.361 -0.494 Rh
0.607 -1.654 1.740 Rh
-0.076 -1.807 -1.691 Rh
2.930 -3.100 -0.445 La
```

Output
Energy of formation from the pure elements in eV/atom: 0.20
Offset from the most stable computed form in eV/atom: 0.0000
D(E_F) in states/eV/atom: 0.779

(10)
First-principles (PBE) data for crystalline LaYRh at its relaxed geometry, as listed in Alexandria.

Geometry as POSCAR:
```
LaYRh
1.0
7.509 0.000 0.000
-3.754 8.568 -0.293
0.000 4.513 7.261
La Rh Y
6 6 6
Cartesian
0.175 5.988 3.828 La
3.929 7.094 3.140 La
1.227 9.498 1.646 La
4.982 3.583 5.322 La
3.648 9.500 6.677 La
-0.106 3.581 0.291 La
2.005 3.593 5.316 Rh
-1.750 9.488 1.652 Rh
1.914 6.526 1.013 Rh
5.668 6.555 5.955 Rh
5.668 4.332 2.377 Rh
1.914 8.750 4.591 Rh
0.042 0.000 0.000 Y
0.042 2.256 3.630 Y
2.873 3.761 2.523 Y
-0.881 9.321 4.444 Y
-0.881 6.910 0.566 Y
2.873 6.171 6.402 Y
```

Output
Energy of formation from the pure elements in eV/atom: -0.54
Offset from the most stable computed form in eV/atom: 0.0208
D(E_F) in states/eV/atom: 1.008

(11)
First-principles (PBE) data for crystalline La2YRh at its relaxed geometry, as listed in Alexandria.

Geometry as POSCAR:
```
La2YRh
1.0
-3.295 0.328 2.100
4.216 -3.130 3.443
3.346 8.776 3.880
La Y Rh
4 2 2
Cartesian
3.754 2.837 5.447 La
0.513 3.137 3.976 La
4.976 6.041 6.864 La
-0.709 -0.067 2.559 La
1.313 -0.095 5.737 Y
2.954 6.069 3.686 Y
2.273 5.118 6.426 Rh
1.994 0.856 2.997 Rh
```

Output
Energy of formation from the pure elements in eV/atom: -0.43
Offset from the most stable computed form in eV/atom: 0.0332
D(E_F) in states/eV/atom: 1.348

(12)
First-principles (PBE) data for crystalline La2YRh at its relaxed geometry, as listed in Alexandria.

Geometry as POSCAR:
```
La2YRh
1.0
5.325 0.000 0.000
0.000 5.325 0.000
0.000 0.000 3.891
La Rh Y
2 1 1
Cartesian
0.000 0.000 0.000 La
2.663 2.663 0.000 La
2.663 0.000 1.946 Rh
0.000 2.663 1.946 Y
```

Output
Energy of formation from the pure elements in eV/atom: -0.09
Offset from the most stable computed form in eV/atom: 0.3664
D(E_F) in states/eV/atom: 1.146

- Which value of D(E_F) does entry 11 give?
  1.348 states/eV/atom

- Which of these has the lowest D(E_F)?
  La2Y2Rh3

Repeat the second record exactly.
First-principles (PBE) data for crystalline La2YRh at its relaxed geometry, as listed in Alexandria.

Geometry as POSCAR:
```
La2YRh
1.0
3.685 0.072 0.000
-0.074 3.685 0.000
0.000 0.000 8.753
La Rh Y
2 1 1
Cartesian
0.000 0.000 0.521 La
0.000 0.000 3.856 La
1.806 1.879 2.188 Rh
1.806 1.879 6.565 Y
```

Output
Energy of formation from the pure elements in eV/atom: -0.28
Offset from the most stable computed form in eV/atom: 0.1795
D(E_F) in states/eV/atom: 1.185

- Number 11 is which compound?
  La2YRh